Entry 1:
The following is a DFT calculation (PBE) of a geometry-optimized Y4Bi5H2 structure.

Cell: 3.988 8.974 8.833 Å, 95.11 103.05 90.00°
Sites, in units of the cell vectors:
Bi1 0.829 0.999 0.657
Bi2 0.171 0.001 0.343
Bi3 0.867 0.555 0.734
Bi4 0.133 0.445 0.266
Bi5 0.500 0.000 0.000
H1 0.583 0.704 0.166
H2 0.417 0.296 0.834
Y1 0.291 0.299 0.582
Y2 0.968 0.270 0.935
Y3 0.032 0.730 0.065
Y4 0.709 0.701 0.418

## Properties
* space group: C2/m (12)
* raw total energy: -0.3861 Ry per atom
* DOS(E_F): 3.19 states/eV per cell
* total moment: 0.0 Bohr magnetons per cell

Entry 2:
The following is a DFT calculation (PBE) of a geometry-optimized Cs4Hg5Pt2 structure.

Cell: 5.334 8.568 9.928 Å, 86.89 90.00 90.00°
Sites, in units of the cell vectors:
Hg1 0.000 0.614 0.377
Hg2 0.000 0.099 0.136
Hg3 0.000 0.901 0.864
Hg4 0.000 0.500 0.000
Hg5 0.000 0.386 0.623
Cs1 0.500 0.221 0.850
Cs2 0.500 0.779 0.150
Cs3 0.500 0.776 0.612
Cs4 0.500 0.224 0.388
Pt1 0.000 0.934 0.385
Pt2 0.000 0.066 0.615

## Properties
* space group: P2/m (10)
* raw total energy: -0.1278 Ry per atom
* formation enthalpy at 0 K: -194 meV per atom
* DOS(E_F): 4.78 states/eV per cell
* total moment: 0.0 Bohr magnetons per cell

Entry 3:
The following is a DFT calculation (PBE) of a geometry-optimized Ac2TbPm2Sm structure.

Cell: 5.927 7.362 10.188 Å, 90.00 90.00 90.00°
Sites, in units of the cell vectors:
Ac1 0.500 0.007 0.000
Ac2 0.000 0.257 0.175
Ac3 0.500 0.507 0.000
Ac4 0.000 0.757 0.825
Pm1 0.000 0.758 0.175
Pm2 0.500 0.258 0.346
Pm3 0.000 0.258 0.825
Pm4 0.500 0.758 0.654
Tb1 0.000 0.508 0.500
Tb2 0.000 0.008 0.500
Sm1 0.500 0.758 0.337
Sm2 0.500 0.258 0.663

## Properties
* space group: Pmma (51)
* raw total energy: -0.3255 Ry per atom
* formation enthalpy at 0 K: 82 meV per atom
* DOS(E_F): 19.49 states/eV per cell
* total moment: 0.0 Bohr magnetons per cell

Entry 4:
The following is a DFT calculation (PBE) of a geometry-optimized KBi3F structure.

Cell: 6.006 6.006 6.006 Å, 90.00 90.00 90.00°
Sites, in units of the cell vectors:
Bi1 0.000 0.500 0.000
Bi2 0.000 0.000 0.500
Bi3 0.500 0.000 0.000
F1 0.500 0.500 0.500
K1 0.000 0.000 0.000

## Properties
* space group: Pm-3m (221)
* raw total energy: -0.1492 Ry per atom
* E above lowest polymorph: 31.37 kcal/mol of atoms
* energy relative to the elements, uncorrected: 86.1 kJ/mol of atoms
* DOS(E_F): 9.76 states/eV per cell
* total moment: 0.0 Bohr magnetons per cell

Entry 5:
The following is a DFT calculation (PBE) of a geometry-optimized CaSm2Co structure.

Cell: 3.958 3.958 9.633 Å, 78.14 78.14 60.00°
Sites, in units of the cell vectors:
Sm1 0.052 0.052 0.845
Sm2 0.281 0.281 0.157
Ca1 0.501 0.501 0.496
Co1 0.666 0.666 0.001

## Properties
* space group: R3m (160)
* raw total energy: -0.3420 Ry per atom
* E above lowest polymorph: 1.02 kcal/mol of atoms
* formation enthalpy at 0 K: -17 meV per atom
* DOS(E_F): 4.30 states/eV per cell
* total moment: 0.0 Bohr magnetons per cell

Entry 6:
The following is a DFT calculation (PBE) of a geometry-optimized PrTm2Pt structure.

Cell: 3.945 3.945 9.264 Å, 77.71 77.71 60.00°
Sites, in units of the cell vectors:
Pr1 0.502 0.502 0.494
Tm1 0.058 0.058 0.827
Tm2 0.274 0.274 0.177
Pt1 0.666 0.666 0.003

## Properties
* space group: R3m (160)
* raw total energy: -0.4054 Ry per atom
* E above lowest polymorph: 2.68 kcal/mol of atoms
* formation enthalpy at 0 K: -575 meV per atom
* DOS(E_F): 3.88 states/eV per cell
* total moment: 0.0 Bohr magnetons per cell